# CeSm7Ga4

A geometry-optimized CeSm7Ga4 structure (PBE, Alexandria via LeMat-Bulk).

```
CeSm7Ga4
1.0
6.946 -2.756 0.000
6.946 2.756 0.000
-5.793 0.000 8.670
Ce Sm Ga
1 7 4
Direct
0.000 0.000 0.000
0.066 0.066 0.391
0.206 0.206 0.881
0.292 0.292 0.350
0.500 0.500 0.000
0.708 0.708 0.650
0.794 0.794 0.119
0.934 0.934 0.609
0.322 0.322 0.669
0.446 0.446 0.243
0.554 0.554 0.757
0.678 0.678 0.331
```

## Properties
symmetry = C2/m, No. 12
calculated volume = 331.9 Å³ per cell
ΔH_f (0 K) = -0.20 eV/atom
magnetization = 1.08 μB/f.u.
density = 7.4 g cm⁻³

***

# Ce2Nd3TmP6

A geometry-optimized Ce2Nd3TmP6 structure (PBE, Alexandria via LeMat-Bulk).

```
Ce2Nd3TmP6
1.0
3.548 -6.146 0.000
3.548 6.146 0.000
-2.366 0.000 6.707
Ce Nd Tm P
2 3 1 6
Direct
0.167 0.833 0.000
0.833 0.167 0.000
0.000 0.000 0.500
0.333 0.667 0.500
0.667 0.333 0.500
0.500 0.500 0.000
0.089 0.420 0.761
0.249 0.249 0.240
0.420 0.089 0.761
0.580 0.911 0.239
0.751 0.751 0.760
0.911 0.580 0.239
```

## Properties
symmetry = C2/m, No. 12
calculated volume = 292.5 Å³ per cell
ΔH_f (0 K) = -1.54 eV/atom
magnetization = 0.75 μB/f.u.
density = 6.1 g cm⁻³

***

# TbEr2In

A geometry-optimized TbEr2In structure (PBE, Alexandria via LeMat-Bulk).

```
TbEr2In
1.0
1.775 1.025 10.881
-1.775 1.025 10.881
0.000 -2.049 10.881
Tb Er In
1 2 1
Direct
0.000 0.000 0.000
0.245 0.245 0.245
0.421 0.421 0.421
0.833 0.833 0.833
```

## Properties
symmetry = R3m, No. 160
calculated volume = 118.7 Å³ per cell
ΔH_f (0 K) = -0.14 eV/atom
E above lowest polymorph = 0.1211 eV/atom
magnetization = 0.21 μB/f.u.
density = 8.5 g cm⁻³

***

# RbSb3Pd

A geometry-optimized RbSb3Pd structure (PBE, Alexandria via LeMat-Bulk).

```
RbSb3Pd
1.0
5.943 0.000 0.000
0.000 5.943 0.000
0.000 0.000 5.943
Rb Sb Pd
1 3 1
Direct
0.000 0.000 0.000
0.000 0.000 0.500
0.000 0.500 0.000
0.500 0.000 0.000
0.500 0.500 0.500
```

## Properties
symmetry = Pm-3m, No. 221
calculated volume = 209.9 Å³ per cell
E above lowest polymorph = 2.0639 eV/atom
magnetization = 0.00 μB/f.u.
E_form (uncorrected) = 1754 meV/atom
density = 4.4 g cm⁻³

***

# Sr2Cd5Pd3

A geometry-optimized Sr2Cd5Pd3 structure (PBE, Alexandria via LeMat-Bulk).

```
Sr2Cd5Pd3
1.0
4.323 0.000 0.000
0.000 4.323 0.000
0.000 0.000 13.079
Sr Cd Pd
2 5 3
Direct
0.000 0.500 0.208
0.500 0.000 0.792
0.000 0.000 0.500
0.000 0.500 0.658
0.500 0.000 0.342
0.500 0.500 0.000
0.500 0.500 0.500
0.000 0.000 0.000
0.000 0.500 0.864
0.500 0.000 0.136
```

## Properties
symmetry = P-4m2, No. 115
calculated volume = 244.4 Å³ per cell
ΔH_f (0 K) = -0.37 eV/atom
E above lowest polymorph = 0.0676 eV/atom
magnetization = 0.00 μB/f.u.
density = 7.2 g cm⁻³

***

# K2CaPS4

A geometry-optimized K2CaPS4 structure (PBE, Alexandria via LeMat-Bulk).

```
K2CaPS4
1.0
0.000 6.772 12.133
3.230 0.000 12.133
3.230 6.772 0.000
K Ca P S
4 2 2 8
Direct
0.063 0.063 0.687
0.313 0.313 0.937
0.687 0.687 0.063
0.937 0.937 0.313
0.125 0.125 0.125
0.875 0.875 0.875
0.375 0.375 0.375
0.625 0.625 0.625
0.033 0.619 0.521
0.327 0.521 0.619
0.381 0.967 0.673
0.479 0.673 0.967
0.521 0.327 0.033
0.619 0.033 0.327
0.673 0.479 0.381
0.967 0.381 0.479
```

## Properties
symmetry = Fddd, No. 70
calculated volume = 530.8 Å³ per cell
magnetization = 0.00 μB/f.u.
E_form (uncorrected) = -870 meV/atom
density = 1.7 g cm⁻³

***

# Li2SbMo

A geometry-optimized Li2SbMo structure (PBE, Alexandria via LeMat-Bulk).

```
Li2SbMo
1.0
4.726 0.000 0.000
0.390 4.851 0.000
1.437 0.035 6.749
Li Sb Mo
4 2 2
Direct
0.061 0.103 0.315
0.429 0.538 0.255
0.571 0.462 0.745
0.939 0.897 0.685
0.000 0.500 0.000
0.500 0.000 0.500
0.316 0.991 0.918
0.684 0.009 0.082
```

## Properties
symmetry = P-1, No. 2
calculated volume = 154.7 Å³ per cell
magnetization = 0.00 μB/f.u.
E_form (uncorrected) = -48 meV/atom
density = 5.0 g cm⁻³

***

# NdAg3Sn3

A geometry-optimized NdAg3Sn3 structure (PBE, Alexandria via LeMat-Bulk).

```
NdAg3Sn3
1.0
4.301 2.483 5.954
-4.301 2.483 5.954
0.000 -4.966 5.954
Nd Ag Sn
2 6 6
Direct
0.168 0.168 0.168
0.832 0.832 0.832
0.082 0.745 0.417
0.255 0.583 0.918
0.417 0.082 0.745
0.583 0.918 0.255
0.745 0.417 0.082
0.918 0.255 0.583
0.090 0.411 0.740
0.260 0.910 0.589
0.411 0.740 0.090
0.589 0.260 0.910
0.740 0.090 0.411
0.910 0.589 0.260
```

## Properties
symmetry = R-3, No. 148
calculated volume = 381.5 Å³ per cell
ΔH_f (0 K) = -0.08 eV/atom
E above lowest polymorph = 0.0000 eV/atom
magnetization = 0.00 μB/f.u.
density = 7.2 g cm⁻³

***

# Sr5Ta

A geometry-optimized Sr5Ta structure (PBE, Alexandria via LeMat-Bulk).

```
Sr5Ta
1.0
0.000 5.110 5.110
5.110 0.000 5.110
5.110 5.110 0.000
Sr Ta
5 1
Direct
0.000 0.000 0.000
0.129 0.624 0.624
0.624 0.129 0.624
0.624 0.624 0.129
0.624 0.624 0.624
0.250 0.250 0.250
```

## Properties
symmetry = F-43m, No. 216
calculated volume = 266.9 Å³ per cell
ΔH_f (0 K) = 0.92 eV/atom
E above lowest polymorph = 0.3647 eV/atom
magnetization = 4.52 μB/f.u.
density = 3.9 g cm⁻³

***

# Pm7Si4C

A geometry-optimized Pm7Si4C structure (PBE, Alexandria via LeMat-Bulk).

```
Pm7Si4C
1.0
7.551 -2.512 0.000
7.551 2.512 0.000
-6.176 0.000 8.654
Pm Si C
7 4 1
Direct
0.000 0.000 0.000
0.140 0.140 0.543
0.289 0.289 0.138
0.429 0.429 0.736
0.571 0.571 0.264
0.711 0.711 0.862
0.860 0.860 0.457
0.079 0.079 0.778
0.224 0.224 0.344
0.776 0.776 0.656
0.921 0.921 0.222
0.500 0.500 0.000
```

## Properties
symmetry = C2/m, No. 12
calculated volume = 328.4 Å³ per cell
magnetization = 0.00 μB/f.u.
E_form (uncorrected) = -313 meV/atom
density = 5.8 g cm⁻³

***

Question: Which formula does entry 1 have?
Answer: CeSm7Ga4

***

Question: What is the formula in the second record?
Answer: Ce2Nd3TmP6

***

Question: Which formula does entry 5 have?
Answer: Sr2Cd5Pd3